1.
Compound: BeTc4Te
Source: Alexandria
Functional: SCAN
Structure: single point on PBEsol structure

The structure belongs to space group F-43m (No. 216); the cell edges are 7.223, 7.223 and 7.223 Å and the angles 90.00°, 90.00° and 90.00°. Symmetry generates all atoms from Be at (0.000, 0.000, 0.000), Tc at (0.125, 0.125, 0.375) and Te at (0.250, 0.250, 0.750).

As for the formation energy from raw total energies: 3.87 eV/f.u.

***

2.
Compound: Be2TcTe
Source: Alexandria
Functional: SCAN
Structure: single point on PBEsol structure

The structure belongs to space group I-42d (No. 122); the cell edges are 6.610, 6.610 and 5.358 Å and the angles 90.00°, 90.00° and 90.00°. Symmetry generates all atoms from Be at (0.241, 0.250, 0.125), Tc at (0.000, 0.000, 0.000) and Te at (0.000, 0.000, 0.500).

As for the formation energy from raw total energies: 2.98 eV/f.u.

***

3.
Compound: BeTc3Te
Source: Alexandria
Functional: SCAN
Structure: single point on PBEsol structure

The structure belongs to space group Pm-3m (No. 221); the cell edges are 4.733, 4.733 and 4.733 Å and the angles 90.00°, 90.00° and 90.00°. Symmetry generates all atoms from Be at (0.000, 0.000, 0.000), Tc at (0.000, 0.500, 0.500) and Te at (0.500, 0.500, 0.500).

As for the formation energy from raw total energies: 10.31 eV/f.u.

***

4.
Compound: Be2TcTe
Source: Alexandria
Functional: SCAN
Structure: single point on PBEsol structure

The structure belongs to space group P4/mmm (No. 123); the cell edges are 3.955, 3.955 and 3.333 Å and the angles 90.00°, 90.00° and 90.00°. Symmetry generates all atoms from Be at (0.000, 0.500, 0.000), Tc at (0.000, 0.000, 0.500) and Te at (0.500, 0.500, 0.500).

As for the formation energy from raw total energies: 1.41 eV/f.u.

***

5.
Compound: Ti2Be2Tc
Source: Alexandria
Functional: SCAN
Structure: single point on PBEsol structure

The structure belongs to space group P4/mbm (No. 127); the cell edges are 6.201, 6.201 and 3.223 Å and the angles 90.00°, 90.00° and 90.00°. Symmetry generates all atoms from Ti at (0.183, 0.317, 0.000), Be at (0.117, 0.617, 0.500) and Tc at (0.000, 0.000, 0.500).

As for the formation energy: -269 meV/atom.

***

6.
Compound: BeTlTc2
Source: Alexandria
Functional: SCAN
Structure: single point on PBEsol structure

The structure belongs to space group P4mm (No. 99); the cell edges are 2.987, 2.987 and 6.572 Å and the angles 90.00°, 90.00° and 90.00°. Symmetry generates all atoms from Be at (0.000, 0.000, 0.000), Tl at (0.500, 0.500, 0.708), Tc at (0.000, 0.000, 0.392) and Tc at (0.500, 0.500, 0.163).

The value obtained for the offset from the most stable computed form is 0.00 kJ/mol of atoms. As for the formation energy: 150 meV/atom.

***

7.
Compound: BeTl2Tc
Source: Alexandria
Functional: SCAN
Structure: single point on PBEsol structure

The structure belongs to space group Immm (No. 71); the cell edges are 3.726, 4.304 and 8.535 Å and the angles 90.00°, 90.00° and 90.00°. Symmetry generates all atoms from Be at (0.000, 0.000, 0.000), Tl at (0.000, 0.500, 0.269) and Tc at (0.000, 0.000, 0.500).

The value obtained for the offset from the most stable computed form is 13.21 kJ/mol of atoms. As for the formation energy: 809 meV/atom.

***

8.
Compound: BeTl2Tc
Source: Alexandria
Functional: SCAN
Structure: single point on PBEsol structure

The structure belongs to space group Fm-3m (No. 225); the cell edges are 6.535, 6.535 and 6.535 Å and the angles 90.00°, 90.00° and 90.00°. Symmetry generates all atoms from Be at (0.000, 0.000, 0.000), Tl at (0.250, 0.250, 0.250) and Tc at (0.000, 0.000, 0.500).

The value obtained for the offset from the most stable computed form is 32.01 kJ/mol of atoms. As for the formation energy: 1004 meV/atom.

***

9.
Compound: BeTl2Tc
Source: Alexandria
Functional: SCAN
Structure: single point on PBEsol structure

The structure belongs to space group I-4m2 (No. 119); the cell edges are 3.921, 3.921 and 8.945 Å and the angles 90.00°, 90.00° and 90.00°. Symmetry generates all atoms from Be at (0.000, 0.000, 0.000), Tl at (0.000, 0.000, 0.500), Tl at (0.000, 0.500, 0.750) and Tc at (0.000, 0.500, 0.250).

The value obtained for the offset from the most stable computed form is 0.00 kJ/mol of atoms. As for the formation energy: 673 meV/atom.

***

10.
Compound: Be2TlTc
Source: Alexandria
Functional: SCAN
Structure: single point on PBEsol structure

The structure belongs to space group C2/m (No. 12); the cell edges are 8.153, 3.204 and 4.538 Å and the angles 90.00°, 102.20° and 90.00°. Symmetry generates all atoms from Be at (0.213, 0.000, 0.113), Tl at (0.000, 0.000, 0.500) and Tc at (0.000, 0.500, 0.000).

The value obtained for the offset from the most stable computed form is 0.00 kJ/mol of atoms. As for the formation energy: 337 meV/atom.

***

11.
Compound: BeTlTc2
Source: Alexandria
Functional: SCAN
Structure: single point on PBEsol structure

The structure belongs to space group Fm-3m (No. 225); the cell edges are 6.148, 6.148 and 6.148 Å and the angles 90.00°, 90.00° and 90.00°. Symmetry generates all atoms from Be at (0.000, 0.000, 0.000), Tl at (0.000, 0.000, 0.500) and Tc at (0.250, 0.250, 0.250).

The value obtained for the offset from the most stable computed form is 57.14 kJ/mol of atoms. As for the formation energy: 743 meV/atom.

***

12.
Compound: Be2TlTc
Source: Alexandria
Functional: SCAN
Structure: single point on PBEsol structure

The structure belongs to space group I-42d (No. 122); the cell edges are 6.485, 6.485 and 5.387 Å and the angles 90.00°, 90.00° and 90.00°. Symmetry generates all atoms from Be at (0.227, 0.750, 0.125), Tl at (0.000, 0.000, 0.500) and Tc at (0.000, 0.000, 0.000).

The value obtained for the offset from the most stable computed form is 29.93 kJ/mol of atoms. As for the formation energy: 647 meV/atom.

***

13.
Compound: Be4TcW
Source: Alexandria
Functional: SCAN
Structure: single point on PBEsol structure

The structure belongs to space group F-43m (No. 216); the cell edges are 6.183, 6.183 and 6.183 Å and the angles 90.00°, 90.00° and 90.00°. Symmetry generates all atoms from Be at (0.124, 0.124, 0.376), Tc at (0.000, 0.000, 0.000) and W at (0.250, 0.250, 0.750).

As for the formation energy: -398 meV/atom.

***

14.
Compound: Be2TcW2
Source: Alexandria
Functional: SCAN
Structure: single point on PBEsol structure

The structure belongs to space group P4/mbm (No. 127); the cell edges are 6.124, 6.124 and 3.164 Å and the angles 90.00°, 90.00° and 90.00°. Symmetry generates all atoms from Be at (0.120, 0.380, 0.000), Tc at (0.000, 0.000, 0.000) and W at (0.174, 0.674, 0.500).

As for the formation energy: -169 meV/atom.

***

15.
Compound: Be3TcW
Source: Alexandria
Functional: SCAN
Structure: single point on PBEsol structure

The structure belongs to space group Pm-3m (No. 221); the cell edges are 3.959, 3.959 and 3.959 Å and the angles 90.00°, 90.00° and 90.00°. Symmetry generates all atoms from Be at (0.000, 0.000, 0.500), Tc at (0.000, 0.000, 0.000) and W at (0.500, 0.500, 0.500).

As for the formation energy: 1154 meV/atom.

***

16.
Compound: Y2BeTc
Source: Alexandria
Functional: SCAN
Structure: single point on PBEsol structure

The structure belongs to space group I-4m2 (No. 119); the cell edges are 4.193, 4.193 and 8.521 Å and the angles 90.00°, 90.00° and 90.00°. Symmetry generates all atoms from Y at (0.000, 0.000, 0.000), Y at (0.000, 0.500, 0.250), Be at (0.000, 0.000, 0.500) and Tc at (0.000, 0.500, 0.750).

As for the formation energy: 292 meV/atom.

***

17.
Compound: Y2BeTc
Source: Alexandria
Functional: SCAN
Structure: single point on PBEsol structure

The structure belongs to space group R-3m (No. 166, hexagonal axes); the cell edges are 3.3936, 3.3936 and 24.8985 Å and the angles 90.00°, 90.00° and 120.00°. Symmetry generates all atoms from Y at (0.0000, 0.0000, 0.2478), Be at (0.0000, 0.0000, 0.0000) and Tc at (0.0000, 0.0000, 0.5000).

As for the formation energy: 408 meV/atom.

***

18.
Compound: YBeTc
Source: Alexandria
Functional: SCAN
Structure: single point on PBEsol structure

The structure belongs to space group F-43m (No. 216); the cell edges are 6.170, 6.170 and 6.170 Å and the angles 90.00°, 90.00° and 90.00°. Symmetry generates all atoms from Y at (0.000, 0.000, 0.000), Be at (0.250, 0.250, 0.750) and Tc at (0.250, 0.250, 0.250).

The value obtained for the offset from the most stable computed form is 103.63 kJ/mol of atoms. As for the formation energy: 1484 meV/atom.

***

19.
Compound: YBeTc
Source: Alexandria
Functional: SCAN
Structure: single point on PBEsol structure

The structure belongs to space group F-43m (No. 216); the cell edges are 5.908, 5.908 and 5.908 Å and the angles 90.00°, 90.00° and 90.00°. Symmetry generates all atoms from Y at (0.000, 0.000, 0.000), Be at (0.250, 0.250, 0.250) and Tc at (0.000, 0.000, 0.500).

The value obtained for the offset from the most stable computed form is 0.00 kJ/mol of atoms. As for the formation energy: 410 meV/atom.

***

20.
Compound: YBeTc2
Source: Alexandria
Functional: SCAN
Structure: single point on PBEsol structure

The structure belongs to space group Pmmm (No. 47); the cell edges are 3.348, 4.211 and 4.373 Å and the angles 90.00°, 90.00° and 90.00°. Symmetry generates all atoms from Y at (0.000, 0.000, 0.000), Be at (0.500, 0.500, 0.000), Tc at (0.000, 0.500, 0.500) and Tc at (0.500, 0.000, 0.500).

As for the formation energy: 274 meV/atom.

***

Fermi-level density of states / states/eV/cell: 18.63, 8.12, 2.69, 1.29, 10.97, 2.02, 2.67, 9.56, 1.20, 2.45, 13.74, 0.66, 2.85, 5.38, 2.83, 7.50, 10.36, 21.60, 9.79, 2.65
Energy / eV per atom: -29.6626, -19.5085, -27.2948, -19.9029, -15.4343, -36.5576, -45.2231, -45.0283, -45.3600, -28.6941, -35.9655, -28.3840, -20.7581, -36.7972, -22.4082, -23.4828, -23.3664, -20.9346, -22.0086, -25.3047